(1)
First-principles (PBE) data for crystalline GdHo2Fe9 at its relaxed geometry, as listed in the Open Quantum Materials Database.

For the density, the calculation gives 9.3 g/cm3. As for the crystal system: trigonal. Its calculated formation energy is -71 meV per atom. The volume is 14.76 A^3/atom.

The space group is R-3m (No. 166, hexagonal axes) and the conventional cell measures 5.0481, 5.0481 and 24.0840 Å, with angles of 90.00, 90.00 and 120.00 degrees. The inequivalent atoms are Gd at (0.0000, 0.0000, 0.0000), Ho at (0.0000, 0.0000, 0.1419), Fe at (0.0000, 0.0000, 0.3327), Fe at (0.0000, 0.0000, 0.5000) and Fe at (0.0002, 0.5001, 0.0818).

---

(2)
First-principles (PBE) data for crystalline OsPdNO at its relaxed geometry, as listed in the Open Quantum Materials Database.

For the density, the calculation gives 11.0 g/cm3. As for the crystal system: orthorhombic. As for the polymorph energy (0 for the lowest one): 0 kJ/mol of formula units. The volume is 12.29 A^3/atom.

The space group is Pmc2_1 (No. 26) and the conventional cell measures 2.863, 5.944 and 5.777 Å, with angles of 90.00, 90.00 and 90.00 degrees. The inequivalent atoms are Os at (0.000, 0.117, 0.000), Pd at (0.500, 0.284, 0.436), N at (0.000, 0.156, 0.675) and O at (0.500, 0.354, 0.059).